Entry 1:
Crystalline TbPaSi at its relaxed geometry. Source: the Alexandria database, functional PBE.

Lattice parameters (Å, degrees): 4.840 4.840 3.523 90.00 90.00 120.00
Atoms (fractional coordinates):
Tb 0.000 0.000 0.000
Pa 0.333 0.667 0.458
Si 0.667 0.333 0.750

Results
For the energy above the most stable polymorph in this dataset, the calculation gives 280 meV per atom. As for the uncorrected formation energy: 0.20 eV per formula unit. Its crystal system is trigonal. Its space-group type is P3m1.

***

Entry 2:
Crystalline NaTlSn at its relaxed geometry. Source: the Alexandria database, functional PBE.

Lattice parameters (Å, degrees): 5.352 5.352 6.674 90.00 90.00 118.77
Atoms (fractional coordinates):
Na 0.168 0.832 0.750
Na 0.832 0.168 0.250
Tl 0.500 0.500 0.000
Tl 0.500 0.500 0.500
Sn 0.167 0.833 0.250
Sn 0.833 0.167 0.750

Results
As for the formation energy from the elements: -9 meV/atom. Its crystal system is orthorhombic. Its space-group type is Cmcm.

***

Entry 3:
Crystalline Tc2CO2 at its relaxed geometry. Source: the Alexandria database, functional PBE.

Lattice parameters (Å, degrees): 5.608 5.608 3.763 90.00 90.00 90.00
Atoms (fractional coordinates):
Tc 0.175 0.325 0.000
Tc 0.325 0.825 0.000
Tc 0.675 0.175 0.000
Tc 0.825 0.675 0.000
C 0.000 0.000 0.000
C 0.500 0.500 0.000
O 0.172 0.328 0.500
O 0.328 0.828 0.500
O 0.672 0.172 0.500
O 0.828 0.672 0.500

Results
For the energy above the most stable polymorph in this dataset, the calculation gives 0 meV per atom. As for the uncorrected formation energy: -1.66 eV per formula unit. Its crystal system is tetragonal. Its space-group type is P4/mbm.

***

Entry 4:
Crystalline Sb2PBr at its relaxed geometry. Source: the Alexandria database, functional PBE.

Lattice parameters (Å, degrees): 5.819 5.819 5.819 142.68 108.47 83.56
Atoms (fractional coordinates):
Sb 0.216 0.216 0.000
Sb 0.784 0.784 0.000
P 0.000 0.500 0.500
Br 0.500 0.000 0.500

Results
For the energy above the most stable polymorph in this dataset, the calculation gives 275 meV per atom. As for the uncorrected formation energy: 1.08 eV per formula unit. Its crystal system is orthorhombic. Its space-group type is Immm.